No. 1
An optimized crystal structure of Hf2NbIn3. Source: the Alexandria database, functional PBE.

Energy of formation from the pure elements: 0.012 eV per atom
Energy: -6.35 eV per atom
Total magnetization: 0.00 μB/f.u.

Cell: 7.7436 5.8899 5.8899 Å, 92.19 80.86 80.86°
Fractional coordinates of all 12 atoms:
In 0.0164 0.8346 0.6714
In 0.5164 0.6714 0.8346
In 0.4836 0.3286 0.1654
In 0.9836 0.1654 0.3286
In 0.7500 0.6048 0.3952
In 0.2500 0.3952 0.6048
Hf 0.8776 0.3644 0.8758
Hf 0.6224 0.1242 0.6356
Hf 0.1224 0.6356 0.1242
Hf 0.3776 0.8758 0.3644
Nb 0.7500 0.9400 0.0600
Nb 0.2500 0.0600 0.9400

No. 2
An optimized crystal structure of Hf2Nb2In. Source: the Alexandria database, functional PBE.

Energy of formation from the pure elements: 0.106 eV per atom
Energy: -8.45 eV per atom
Total magnetization: 0.00 μB/f.u.

Cell: 7.4215 7.4215 3.8664 Å, 90.00 90.00 90.00°
Fractional coordinates of all 10 atoms:
Nb 0.6265 0.1265 0.0000
Nb 0.8735 0.6265 0.0000
Nb 0.3735 0.8735 0.0000
Nb 0.1265 0.3735 0.0000
In 0.5000 0.5000 0.0000
In 0.0000 0.0000 0.0000
Hf 0.6703 0.8297 0.5000
Hf 0.3297 0.1703 0.5000
Hf 0.8297 0.3297 0.5000
Hf 0.1703 0.6703 0.5000